No. 1
Th4HgSb2Se | PBE | relaxed

a b c (Å): 4.4123 7.7423 7.5894
angles (deg): 70.71 90.00 90.00
With the nearest neighbours (Å) after each atom.
Fractional coordinates of all 8 atoms:
Th 0.0000 0.7362 0.7592  2 Se 3.06, 1 Hg 3.10, 3 Sb 3.16-3.20
Th 0.0000 0.2638 0.2408  2 Se 3.06, 1 Hg 3.10, 3 Sb 3.16-3.20
Th 0.5000 0.7401 0.2506  1 Se 3.07, 2 Hg 3.10, 3 Sb 3.16-3.19
Th 0.5000 0.2599 0.7494  1 Se 3.07, 2 Hg 3.10, 3 Sb 3.16-3.19
Hg 0.0000 0.5000 0.5000  6 Th 3.10
Sb 0.0000 0.0000 0.0000  6 Th 3.16
Sb 0.5000 0.0000 0.5000  6 Th 3.19-3.20
Se 0.5000 0.5000 0.0000  6 Th 3.06-3.07

No. 2
TiHgSbSe2 | PBE | relaxed

a b c (Å): 4.8432 5.6292 4.8432
angles (deg): 90.00 90.00 90.00
With the nearest neighbours (Å) after each atom.
Fractional coordinates of all 5 atoms:
Sb 0.5000 0.5000 0.5000  4 Hg 3.42, 8 Se 3.71
Hg 0.0000 0.5000 0.0000  2 Ti 2.81
Se 0.0000 0.0000 0.5000  2 Ti 2.42
Se 0.5000 0.0000 0.0000  2 Ti 2.42
Ti 0.0000 0.0000 0.0000  4 Se 2.42

No. 3
Tl2HgSbSe4 | PBE | relaxed

a b c (Å): 8.5546 8.5546 8.4475
angles (deg): 119.58 119.58 90.45
With the nearest neighbours (Å) after each atom.
Fractional coordinates of all 16 atoms:
Tl 0.5000 0.0000 0.0000  6 Se 3.14-3.17
Tl 0.5000 0.0000 0.5000  6 Se 3.14-3.17
Tl 0.0000 0.0000 0.5000  6 Se 3.10-3.12
Tl 0.5000 0.5000 0.0000  6 Se 3.10-3.12
Hg 0.5000 0.5000 0.5000  6 Se 2.91-2.98
Hg 0.0000 0.0000 0.0000  6 Se 2.91-2.98
Sb 0.0000 0.5000 0.0000  6 Se 2.89-2.91
Sb 0.0000 0.5000 0.5000  6 Se 2.89-2.91
Se 0.2252 0.7352 0.9802  2 Sb 2.89, 1 Hg 2.98, 3 Tl 3.10-3.14
Se 0.7648 0.2748 0.5198  2 Sb 2.89, 1 Hg 2.98, 3 Tl 3.10-3.14
Se 0.2352 0.7252 0.4802  2 Sb 2.89, 1 Hg 2.98, 3 Tl 3.10-3.14
Se 0.7748 0.2648 0.0198  2 Sb 2.89, 1 Hg 2.98, 3 Tl 3.10-3.14
Se 0.7607 0.7395 0.9830  1 Sb 2.91, 2 Hg 2.91-2.92, 3 Tl 3.12-3.17
Se 0.7605 0.7393 0.5170  1 Sb 2.91, 2 Hg 2.91-2.92, 3 Tl 3.12-3.17
Se 0.2395 0.2607 0.4830  1 Sb 2.91, 2 Hg 2.91-2.92, 3 Tl 3.12-3.17
Se 0.2393 0.2605 0.0170  1 Sb 2.91, 2 Hg 2.91-2.92, 3 Tl 3.12-3.17

No. 4
TlHg2SbSe4 | PBE | relaxed

a b c (Å): 7.2413 7.0346 7.0346
angles (deg): 73.37 59.02 59.02
With the nearest neighbours (Å) after each atom.
Fractional coordinates of all 8 atoms:
Tl 0.0000 0.0000 0.0000  8 Se 3.55-3.65
Hg 0.1900 0.3100 0.3100  2 Se 2.51
Hg 0.8100 0.6900 0.6900  2 Se 2.51
Sb 0.5000 0.5000 0.5000  4 Se 2.80
Se 0.4566 0.1260 0.5007  1 Hg 2.51, 1 Sb 2.80
Se 0.0833 0.8740 0.4993  1 Hg 2.51, 1 Sb 2.80
Se 0.9167 0.5007 0.1260  1 Hg 2.51, 1 Sb 2.80
Se 0.5434 0.4993 0.8740  1 Hg 2.51, 1 Sb 2.80

No. 5
TlHgSbSe3 | PBE | relaxed

a b c (Å): 4.2574 9.1069 10.0047
angles (deg): 99.53 90.00 90.00
With the nearest neighbours (Å) after each atom.
Fractional coordinates of all 12 atoms:
Tl 0.2500 0.1707 0.2241  7 Se 3.35-3.54
Tl 0.7500 0.8293 0.7759  7 Se 3.35-3.54
Hg 0.2500 0.1081 0.6096  4 Se 2.70-2.92
Hg 0.7500 0.8919 0.3904  4 Se 2.70-2.92
Sb 0.2500 0.6538 0.1274  3 Se 2.62-2.87
Sb 0.7500 0.3462 0.8726  3 Se 2.62-2.87
Se 0.7500 0.8636 0.1172  1 Hg 2.70, 2 Sb 2.87
Se 0.2500 0.1364 0.8828  1 Hg 2.70, 2 Sb 2.87
Se 0.2500 0.7883 0.5116  3 Hg 2.70-2.92
Se 0.7500 0.2117 0.4884  3 Hg 2.70-2.92
Se 0.7500 0.4222 0.1367  1 Sb 2.62
Se 0.2500 0.5778 0.8633  1 Sb 2.62

No. 6
Y2HgSbSe | PBE | relaxed

a b c (Å): 5.7454 5.4386 5.7454
angles (deg): 90.00 90.00 90.00
With the nearest neighbours (Å) after each atom.
Fractional coordinates of all 5 atoms:
Y 0.0000 0.0000 0.5000  2 Sb 2.87
Y 0.5000 0.0000 0.0000  2 Sb 2.87
Sb 0.0000 0.0000 0.0000  2 Se 2.72, 4 Y 2.87
Hg 0.5000 0.5000 0.5000  8 Y 3.96, 4 Se 4.06
Se 0.0000 0.5000 0.0000  2 Sb 2.72

No. 7
Si2HgSb | PBE | relaxed

a b c (Å): 4.9474 4.9474 4.9474
angles (deg): 60.00 60.00 60.00
With the nearest neighbours (Å) after each atom.
Fractional coordinates of all 4 atoms:
Hg 0.0000 0.0000 0.0000  8 Si 3.03
Sb 0.5000 0.5000 0.5000  8 Si 3.03
Si 0.7500 0.7500 0.7500  4 Hg 3.03, 4 Sb 3.03
Si 0.2500 0.2500 0.2500  4 Hg 3.03, 4 Sb 3.03

No. 8
Si2HgSb | PBE | relaxed

a b c (Å): 3.7640 3.7640 7.4643
angles (deg): 75.04 75.04 60.03
With the nearest neighbours (Å) after each atom.
Fractional coordinates of all 4 atoms:
Hg 0.5131 0.5131 0.4673  3 Si 2.87-2.93, 3 Sb 3.13-3.16
Sb 0.7413 0.7413 0.7854  3 Si 2.85-2.87, 3 Hg 3.13-3.16
Si 0.9826 0.9826 0.0472  3 Si 2.43
Si 0.2630 0.2630 0.2001  3 Si 2.43

No. 9
SiHgSb | PBE | relaxed

a b c (Å): 4.7889 4.7889 4.7889
angles (deg): 60.00 60.00 60.00
With the nearest neighbours (Å) after each atom.
Fractional coordinates of all 3 atoms:
Hg 0.0000 0.0000 0.0000  4 Si 2.93
Sb 0.5000 0.5000 0.5000  4 Si 2.93
Si 0.7500 0.7500 0.7500  4 Hg 2.93, 4 Sb 2.93

No. 10
SiHgSb | PBE | relaxed

a b c (Å): 6.2348 6.2348 6.2348
angles (deg): 146.90 146.90 47.51
With the nearest neighbours (Å) after each atom.
Fractional coordinates of all 3 atoms:
Hg 0.0102 0.0102 0.0000  4 Si 3.23, 5 Sb 3.33-3.46, 4 Hg 3.55
Sb 0.3023 0.3023 0.0000  4 Si 2.83
Si 0.6875 0.6875 0.0000  4 Sb 2.83

No. 11
SiHg3Sb | PBE | relaxed

a b c (Å): 5.1707 5.1707 5.1707
angles (deg): 90.00 90.00 90.00
With the nearest neighbours (Å) after each atom.
Fractional coordinates of all 5 atoms:
Sb 0.5000 0.5000 0.5000  12 Hg 3.66
Si 0.0000 0.0000 0.0000  6 Hg 2.59
Hg 0.0000 0.5000 0.0000  2 Si 2.59
Hg 0.0000 0.0000 0.5000  2 Si 2.59
Hg 0.5000 0.0000 0.0000  2 Si 2.59

No. 12
SiHg2Sb2 | PBE | relaxed

a b c (Å): 7.3042 7.3042 5.0476
angles (deg): 90.00 90.00 90.00
With the nearest neighbours (Å) after each atom.
Fractional coordinates of all 10 atoms:
Sb 0.3536 0.8536 0.0000  2 Si 2.80, 1 Sb 3.02
Sb 0.8536 0.6464 0.0000  2 Si 2.80, 1 Sb 3.02
Sb 0.6464 0.1464 0.0000  2 Si 2.80, 1 Sb 3.02
Sb 0.1464 0.3536 0.0000  2 Si 2.80, 1 Sb 3.02
Si 0.0000 0.0000 0.0000  4 Sb 2.80
Si 0.5000 0.5000 0.0000  4 Sb 2.80
Hg 0.1740 0.6740 0.5000  6 Sb 3.13-3.45
Hg 0.6740 0.8260 0.5000  6 Sb 3.13-3.45
Hg 0.8260 0.3260 0.5000  6 Sb 3.13-3.45
Hg 0.3260 0.1740 0.5000  6 Sb 3.13-3.45

No. 13
Si2HgSb | PBE | relaxed

a b c (Å): 5.3234 3.0432 7.1761
angles (deg): 56.06 90.00 90.00
With the nearest neighbours (Å) after each atom.
Fractional coordinates of all 4 atoms:
Hg 0.5000 0.2500 0.2500  2 Sb 3.02, 2 Hg 3.04, 4 Si 3.33
Sb 0.5000 0.7500 0.7500  4 Si 2.93, 2 Hg 3.02, 2 Sb 3.04
Si 0.0000 0.7712 0.9170  2 Si 2.47-2.54
Si 0.0000 0.7288 0.5830  2 Si 2.47-2.54

No. 14
SiHgSb | PBE | relaxed

a b c (Å): 7.2501 7.0268 3.4014
angles (deg): 79.90 72.59 27.51
With the nearest neighbours (Å) after each atom.
Fractional coordinates of all 3 atoms:
Hg 0.0150 0.0150 0.9850  2 Si 2.99
Sb 0.3081 0.3081 0.6919  2 Si 2.70
Si 0.6768 0.6768 0.3232  2 Sb 2.70, 2 Hg 2.99

No. 15
Si2HgSb | PBE | relaxed

a b c (Å): 4.8602 4.8563 4.8505
angles (deg): 70.35 70.98 109.74
With the nearest neighbours (Å) after each atom.
Fractional coordinates of all 4 atoms:
Hg 0.0000 0.5000 0.5000  4 Si 2.80, 2 Sb 2.82
Sb 0.5000 0.5000 0.0000  4 Si 2.80, 2 Hg 2.82
Si 0.0000 0.0000 0.0000  2 Hg 2.80, 2 Sb 2.80, 2 Si 2.82
Si 0.5000 0.0000 0.5000  2 Sb 2.80, 2 Hg 2.80, 2 Si 2.82

No. 16
SiHg3Sb | PBE | relaxed

a b c (Å): 5.6374 5.6374 5.6374
angles (deg): 90.00 90.00 90.00
With the nearest neighbours (Å) after each atom.
Fractional coordinates of all 5 atoms:
Sb 0.0000 0.0000 0.0000  6 Hg 2.82
Si 0.5000 0.5000 0.5000  12 Hg 3.99
Hg 0.0000 0.5000 0.0000  2 Sb 2.82
Hg 0.0000 0.0000 0.5000  2 Sb 2.82
Hg 0.5000 0.0000 0.0000  2 Sb 2.82

No. 17
SiHgSb | PBE | relaxed

a b c (Å): 6.4603 6.4603 6.4603
angles (deg): 145.06 145.07 50.24
With the nearest neighbours (Å) after each atom.
Fractional coordinates of all 3 atoms:
Hg 0.9920 0.9920 0.0000  1 Si 2.54, 1 Sb 2.82
Sb 0.2329 0.2329 0.0000  4 Si 2.79, 1 Hg 2.82
Si 0.7750 0.7750 0.0000  1 Hg 2.54, 4 Sb 2.79

No. 18
Si2HgSb | PBE | relaxed

a b c (Å): 9.4376 9.4376 9.4376
angles (deg): 19.92 19.92 19.92
With the nearest neighbours (Å) after each atom.
Fractional coordinates of all 4 atoms:
Hg 0.2500 0.2500 0.2500  6 Si 2.92, 6 Hg 3.26
Sb 0.7500 0.7500 0.7500  6 Si 3.04, 6 Sb 3.26
Si 0.9972 0.9972 0.9972  3 Hg 2.92, 3 Sb 3.04, 6 Si 3.26
Si 0.5028 0.5028 0.5028  3 Hg 2.92, 3 Sb 3.04, 6 Si 3.26

No. 19
Si2HgSb | PBE | relaxed

a b c (Å): 5.3943 5.3943 2.9413
angles (deg): 90.00 90.00 89.99
With the nearest neighbours (Å) after each atom.
Fractional coordinates of all 4 atoms:
Hg 0.5000 0.0000 0.5000  2 Hg 2.94, 8 Si 3.07
Sb 0.0000 0.5000 0.5000  2 Sb 2.94, 8 Si 3.07
Si 0.0000 0.0000 0.0000  2 Si 2.94, 4 Sb 3.07, 4 Hg 3.07
Si 0.5000 0.5000 0.0000  2 Si 2.94, 4 Hg 3.07, 4 Sb 3.07

No. 20
SiHgSb | PBE | relaxed

a b c (Å): 3.9888 3.9888 5.5834
angles (deg): 90.00 90.00 120.00
With the nearest neighbours (Å) after each atom.
Fractional coordinates of all 3 atoms:
Hg 0.0000 0.0000 0.9664  3 Si 2.95
Sb 0.6667 0.3333 0.3969  3 Si 2.66
Si 0.3333 0.6667 0.6367  3 Sb 2.66, 3 Hg 2.95

The records above yield total DFT energy (no corrections) values of -6.065, -3.832, -3.141, -2.797, -3.141, -4.152, -3.182, -3.533, -2.879, -2.857, -1.631, -2.480, -3.280, -2.863, -3.347, -1.282, -3.023, -3.202, -3.218, -3.066 eV/atom, respectively.